Nd6CoPt2Br3, optimized geometry, DFT PBE; space group = No. 12; formation energy (no corrections) = -1.080 eV/atom; Fermi-level density of states = 7.97 states/eV/cell; total DFT energy (no corrections) = -65.773 eV per cell
1.0
-1.386 6.779 2.089
-5.441 -4.589 -1.255
2.453 -2.972 7.129
Br Nd Pt Co
3 6 2 1
Direct
0.837 0.163 0.500
0.500 0.500 0.500
0.163 0.837 0.500
0.381 0.065 0.195
0.252 0.252 0.805
0.619 0.935 0.805
0.065 0.381 0.195
0.935 0.619 0.805
0.748 0.748 0.195
0.333 0.667 0.000
0.667 0.333 0.000
0.000 0.000 0.000